Record 1
VASP calculation (PBE-GGA) on a relaxed structure of Al2PbI8.

Cell and atoms, written as POSCAR:
```
Al2PbI8
1.0
9.235 0.000 4.076
3.977 10.414 3.488
0.230 0.086 11.978
I Al Pb
16 4 2
Direct
0.835 0.538 0.339
0.618 0.233 0.458
0.382 0.767 0.542
0.119 0.708 0.962
0.711 0.962 0.161
0.854 0.035 0.767
0.881 0.292 0.038
0.165 0.462 0.661
0.211 0.208 0.462
0.146 0.965 0.233
0.789 0.792 0.538
0.691 0.733 0.958
0.289 0.038 0.839
0.309 0.267 0.042
0.344 0.535 0.267
0.656 0.465 0.733
0.342 0.357 0.461
0.161 0.143 0.039
0.839 0.857 0.961
0.658 0.643 0.539
0.998 0.750 0.250
0.002 0.250 0.750
```

Calculated values
Relative energy among the computed polymorphs ... 0.00 eV per formula unit
Formation energy (no corrections) ... -65 kJ/mol of atoms
Density ... 3.72 g cm⁻³
Calculated volume ... 570.38 Å³/f.u.
Electronic total energy ... -61.960 eV/cell

Record 2
VASP calculation (PBE-GGA) on a relaxed structure of Sr2P.

Cell and atoms, written as POSCAR:
```
Sr2P
1.0
7.143 0.036 0.011
5.878 4.058 0.011
-0.011 -0.003 7.188
Sr P
4 2
Direct
0.373 0.373 0.031
0.642 0.642 0.702
0.905 0.905 0.531
0.635 0.635 0.202
0.026 0.026 0.933
0.252 0.252 0.433
```

Calculated values
Density ... 3.31 g cm⁻³
Formation energy ... -794 meV per atom
Calculated volume ... 103.42 Å³/f.u.
Electronic total energy ... -22.310 eV/cell

Record 3
VASP calculation (PBE-GGA) on a relaxed structure of PrTmSi2.

Cell and atoms, written as POSCAR:
```
PrTmSi2
1.0
-1.136 -2.745 3.523
1.829 -4.218 0.317
4.272 -0.355 4.114
Si Pr Tm
2 1 1
Direct
0.263 0.263 0.211
0.737 0.737 0.789
0.500 0.500 0.500
0.000 0.000 0.000
```

Calculated values
Relative energy among the computed polymorphs ... 1.08 eV per formula unit
Formation energy (no corrections) ... -46 kJ/mol of atoms
Density ... 6.22 g cm⁻³
Calculated volume ... 97.69 Å³/f.u.
Electronic total energy ... -21.998 eV/cell

Record 4
VASP calculation (PBE-GGA) on a relaxed structure of Na2Tm2Tl7.

Cell and atoms, written as POSCAR:
```
Na2Tm2Tl7
1.0
-6.437 -1.314 1.758
0.945 -8.028 -2.532
5.022 -0.830 4.510
Tl Tm Na
7 2 2
Direct
0.500 0.682 0.000
0.000 0.318 0.500
0.500 0.810 0.500
0.000 0.682 0.500
0.000 0.000 0.000
0.500 0.318 0.000
0.500 0.190 0.500
0.266 0.000 0.734
0.734 0.000 0.266
0.236 0.500 0.236
0.764 0.500 0.764
```

Calculated values
Density ... 8.90 g cm⁻³
Formation energy ... 8 meV per atom
Calculated volume ... 338.42 Å³/f.u.
Electronic total energy ... -28.062 eV/cell

Record 5
VASP calculation (PBE-GGA) on a relaxed structure of Ho2Si3Ni4Ru.

Cell and atoms, written as POSCAR:
```
Ho2Si3Ni4Ru
1.0
-2.584 -2.518 -1.480
2.082 -2.974 1.425
-5.209 0.391 8.430
Si Ho Ni Ru
3 2 4 1
Direct
0.000 0.500 0.125
0.000 0.000 0.500
0.500 0.000 0.875
0.500 0.000 0.246
0.000 0.500 0.754
0.500 0.000 0.644
0.000 0.000 0.000
0.500 0.500 0.000
0.000 0.500 0.356
0.500 0.500 0.500
```

Calculated values
Formation energy (no corrections) ... -65 kJ/mol of atoms
Density ... 8.26 g cm⁻³
Calculated volume ... 150.80 Å³/f.u.
Electronic total energy ... -64.562 eV/cell

Record 6
VASP calculation (PBE-GGA) on a relaxed structure of PWSe2.

Cell and atoms, written as POSCAR:
```
PWSe2
1.0
3.705 0.000 0.000
0.000 3.705 0.000
0.000 0.000 5.170
Se W P
2 1 1
Direct
0.500 0.000 0.000
0.000 0.500 0.000
0.500 0.500 0.500
0.000 0.000 0.500
```

Calculated values
Formation energy (no corrections) ... 91 kJ/mol of atoms
Density ... 8.72 g cm⁻³
Calculated volume ... 70.96 Å³/f.u.
Electronic total energy ... -21.564 eV/cell

Record 7
VASP calculation (PBE-GGA) on a relaxed structure of AgHg2As.

Cell and atoms, written as POSCAR:
```
AgHg2As
1.0
-2.159 0.792 2.019
-1.453 -2.535 -0.907
4.299 -4.779 6.473
Hg As Ag
2 1 1
Direct
0.000 0.000 0.012
0.000 0.000 0.488
0.500 0.500 0.750
0.500 0.500 0.250
```

Calculated values
Density ... 11.39 g cm⁻³
Formation energy ... 233 meV per atom
Calculated volume ... 85.16 Å³/f.u.
Electronic total energy ... -7.174 eV/cell

Record 8
VASP calculation (PBE-GGA) on a relaxed structure of Zn3BOs.

Cell and atoms, written as POSCAR:
```
Zn3BOs
1.0
-0.286 -3.610 1.882
0.717 -1.901 -3.539
4.007 0.083 0.768
Zn Os B
3 1 1
Direct
0.000 0.000 0.500
0.000 0.500 0.000
0.500 0.000 0.000
0.500 0.500 0.500
0.000 0.000 0.000
```

Calculated values
Relative energy among the computed polymorphs ... 0.00 eV per formula unit
Density ... 9.71 g cm⁻³
Formation energy ... 891 meV per atom
Calculated volume ... 67.95 Å³/f.u.
Electronic total energy ... -17.274 eV/cell

Record 9
VASP calculation (PBE-GGA) on a relaxed structure of LaScTl2.

Cell and atoms, written as POSCAR:
```
LaScTl2
1.0
-2.327 -2.633 1.057
3.343 -3.210 -0.637
1.991 0.806 6.390
Tl Sc La
2 1 1
Direct
0.000 0.000 0.966
0.500 0.500 0.249
0.500 0.500 0.796
0.000 0.000 0.489
```

Calculated values
Density ... 8.50 g cm⁻³
Formation energy ... -124 meV per atom
Calculated volume ... 115.74 Å³/f.u.
Electronic total energy ... -16.486 eV/cell

Record 10
VASP calculation (PBE-GGA) on a relaxed structure of TmScH.

Cell and atoms, written as POSCAR:
```
TmScH
1.0
-3.155 -4.441 -0.071
4.043 -2.818 -3.377
3.162 -2.337 5.737
H Sc Tm
4 4 4
Direct
0.004 0.591 0.888
0.504 0.409 0.112
0.004 0.091 0.112
0.504 0.909 0.888
0.622 0.588 0.883
0.122 0.412 0.117
0.622 0.088 0.117
0.122 0.912 0.883
0.603 0.580 0.370
0.103 0.420 0.630
0.603 0.080 0.630
0.103 0.920 0.370
```

Calculated values
Relative energy among the computed polymorphs ... 0.00 eV per formula unit
Density ... 6.30 g cm⁻³
Calculated volume ... 56.60 Å³/f.u.
Electronic total energy ... -60.492 eV/cell

Record 11
VASP calculation (PBE-GGA) on a relaxed structure of NdEr6In3.

Cell and atoms, written as POSCAR:
```
NdEr6In3
1.0
-0.353 3.399 -5.839
-8.713 2.756 2.131
4.513 7.226 3.934
In Nd Er
6 2 12
Direct
0.899 0.763 0.004
0.399 0.237 0.996
0.348 0.501 0.499
0.399 0.004 0.763
0.848 0.499 0.501
0.899 0.996 0.237
0.607 0.706 0.294
0.107 0.294 0.706
0.092 0.693 0.307
0.781 0.444 0.014
0.781 0.986 0.556
0.106 0.748 0.694
0.606 0.694 0.748
0.866 0.077 0.923
0.106 0.306 0.252
0.281 0.556 0.986
0.281 0.014 0.444
0.606 0.252 0.306
0.366 0.923 0.077
0.592 0.307 0.693
```

Calculated values
Density ... 8.39 g cm⁻³
Formation energy ... -184 meV per atom
Calculated volume ... 295.51 Å³/f.u.
Electronic total energy ... -84.407 eV/cell

Record 12
VASP calculation (PBE-GGA) on a relaxed structure of VGePCl2.

Cell and atoms, written as POSCAR:
```
VGePCl2
1.0
4.639 0.000 0.000
0.000 4.639 0.000
0.000 0.000 4.981
Cl V Ge P
2 1 1 1
Direct
0.500 0.000 0.000
0.000 0.500 0.000
0.000 0.000 0.000
0.500 0.500 0.500
0.000 0.000 0.500
```

Calculated values
Relative energy among the computed polymorphs ... 0.00 eV per formula unit
Formation energy (no corrections) ... -4 kJ/mol of atoms
Density ... 3.49 g cm⁻³
Calculated volume ... 107.19 Å³/f.u.
Electronic total energy ... -23.048 eV/cell